Computed, not measured: crystalline ZrTa2PO at its relaxed geometry at the PBE level of DFT.

Lattice parameters (Å, degrees): 5.0183 4.7249 5.0183 90.00 90.00 90.00
Last column: nearest neighbours and their distance in Å.
Element x y z (fractional)
O 0.5000 0.5000 0.5000  8 Ta 3.45, 4 P 3.55
Ta 0.5000 0.0000 0.0000  2 Zr 2.51
Ta 0.0000 0.0000 0.5000  2 Zr 2.51
P 0.0000 0.5000 0.0000  2 Zr 2.36
Zr 0.0000 0.0000 0.0000  2 P 2.36, 4 Ta 2.51

Values from the calculation:
Density of states at the Fermi level = 7.14 states/eV per cell
Uncorrected formation energy = 2.0134 eV per atom
VASP energy = -0.2393 hartree per atom
Volume = 23.80 Å³/atom